! KZr2Ta | Alexandria via LeMat-Bulk | GGA-PBEsol | optimized geometry; values from VASP
! Formation energy: 284 kJ/mol of formula units
! Crystal system: monoclinic
! Size of the total moment: 0.000 μB per formula unit
! DOS(E_F): 3.5 states/eV/f.u.
! Energy relative to the lowest polymorph listed for this composition: 0.055 eV/atom
&SYSTEM
  ibrav = 0, nat = 4, ntyp = 3
/
ATOMIC_SPECIES
K 39.10 K.upf
Zr 91.22 Zr.upf
Ta 180.95 Ta.upf
ATOMIC_POSITIONS crystal
K 0.000 0.000 0.000
Zr 0.388 0.500 0.661
Zr 0.996 0.000 0.458
Ta 0.554 0.500 0.331
CELL_PARAMETERS angstrom
2.914 0.000 0.000
0.000 4.773 0.000
-1.186 0.000 7.754

! K2ZrTa | Alexandria via LeMat-Bulk | GGA-PBEsol | optimized geometry; values from VASP
! Formation energy: 709 kJ/mol of formula units
! Crystal system: tetragonal
! Size of the total moment: 0.399 μB per formula unit
! DOS(E_F): 5.2 states/eV/f.u.
! Energy relative to the lowest polymorph listed for this composition: 1.075 eV/atom
&SYSTEM
  ibrav = 0, nat = 4, ntyp = 3
/
ATOMIC_SPECIES
K 39.10 K.upf
Zr 91.22 Zr.upf
Ta 180.95 Ta.upf
ATOMIC_POSITIONS crystal
K 0.000 0.500 0.000
K 0.500 0.000 0.000
Zr 0.000 0.000 0.500
Ta 0.500 0.500 0.500
CELL_PARAMETERS angstrom
6.633 0.000 0.000
0.000 6.633 0.000
0.000 0.000 2.744

! KZr2Ta | Alexandria via LeMat-Bulk | GGA-PBEsol | optimized geometry; values from VASP
! Formation energy: 366 kJ/mol of formula units
! Crystal system: orthorhombic
! Size of the total moment: 0.000 μB per formula unit
! DOS(E_F): 3.7 states/eV/f.u.
! Energy relative to the lowest polymorph listed for this composition: 0.267 eV/atom
&SYSTEM
  ibrav = 0, nat = 4, ntyp = 3
/
ATOMIC_SPECIES
K 39.10 K.upf
Zr 91.22 Zr.upf
Ta 180.95 Ta.upf
ATOMIC_POSITIONS crystal
K 0.000 0.000 0.000
Zr 0.467 0.467 0.000
Zr 0.717 0.217 0.500
Ta 0.265 0.765 0.500
CELL_PARAMETERS angstrom
-1.451 2.874 5.753
1.451 -2.874 5.753
1.451 2.874 -5.753